Entry 1:
GGA-PBE BaNaAcBr6, optimized geometry; DFT total energy = -3.889 eV/atom; E_form (uncorrected) = -1.957 eV per atom
1.0
7.758 0.000 0.000
-3.879 6.718 0.000
0.000 0.000 14.081
Ba Na Ac Br
2 2 2 12
direct
0.000 0.000 0.000
0.000 0.000 0.500
0.333 0.667 0.250
0.667 0.333 0.750
0.333 0.667 0.750
0.667 0.333 0.250
0.003 0.352 0.130
0.003 0.651 0.370
0.349 0.352 0.370
0.349 0.997 0.130
0.352 0.003 0.630
0.352 0.349 0.870
0.648 0.651 0.130
0.648 0.997 0.370
0.651 0.003 0.870
0.651 0.648 0.630
0.997 0.349 0.630
0.997 0.648 0.870

***

Entry 2:
GGA-PBE BiSbP2S, optimized geometry; excess energy over the best structure of this formula in the dataset = 0 meV/atom; DFT total energy = -3.832 eV/atom; E_form (uncorrected) = 0.758 eV per atom
1.0
5.062 0.000 0.000
0.000 5.062 0.000
0.000 0.000 4.938
Bi Sb P S
1 1 2 1
direct
0.000 0.000 0.000
0.500 0.500 0.500
0.000 0.500 0.500
0.500 0.000 0.500
0.500 0.500 0.000